*i*
VASP calculation (PBE) on a relaxed Tb5Tl2Pt crystal.

As for the density of states at the Fermi level: 1.391 states/eV per atom. The size of the total moment comes out at 0.00 μB per formula unit. Its space group is Cmcm.

The structure in extended XYZ format:
```
16
Lattice="-2.935 1.989 -4.276 3.553 -7.539 -2.338 -10.149 -6.068 4.143" Properties=species:S:1:pos:R:3 pbc="T T T"
Tb -8.836 -10.002 -2.196
Tb -5.795 -8.184 -3.438
Tb -3.151 -6.608 -0.912
Tb 0.605 -4.363 -2.445
Tb -3.137 -3.244 -2.963
Tb -6.394 -8.374 0.493
Tb -6.381 -5.009 -1.559
Tb -10.136 -7.255 -0.025
Tb -0.696 -1.616 -0.274
Tb -3.737 -3.434 0.967
Tl -3.598 -6.277 -4.058
Tl -1.201 -4.843 -5.037
Tl -5.933 -5.341 1.588
Tl -8.331 -6.774 2.566
Pt -7.832 -7.472 -1.709
Pt -1.700 -4.145 -0.762
```

*ii*
VASP calculation (PBE) on a relaxed Tb5Tl2Pt crystal.

As for the density of states at the Fermi level: 0.967 states/eV per atom. The size of the total moment comes out at 0.00 μB per formula unit. Its space group is Pbam.

The structure in extended XYZ format:
```
16
Lattice="-0.700 3.793 2.826 -6.819 -2.526 1.702 4.773 -6.349 9.701" Properties=species:S:1:pos:R:3 pbc="T T T"
Tb 2.387 -3.174 4.851
Tb -3.409 -1.263 0.851
Tb -4.882 -3.517 3.511
Tb 2.836 -5.358 7.892
Tb -0.951 -6.119 7.976
Tb -1.095 -2.756 3.427
Tb -2.969 -2.504 6.669
Tb 0.223 -2.579 7.560
Tb -1.539 -6.033 11.758
Tb -1.206 0.950 2.471
Tl -3.552 -0.635 4.017
Tl 0.806 -4.448 10.212
Tl -3.408 -4.641 9.427
Tl 0.662 -0.442 4.802
Pt -1.023 -4.438 5.701
Pt 0.000 0.000 0.000
```

Order from most stable to least stable according to the calculation: *ii*, *i*

*i*
VASP calculation (PBE) on a relaxed TbTmZnPt crystal.

As for the density of states at the Fermi level: 0.701 states/eV per atom. The size of the total moment comes out at 0.00 μB per formula unit. Its space group is P4mm.

The structure in extended XYZ format:
```
4
Lattice="-1.836 0.009 -3.021 0.395 -3.504 -0.250 -5.863 -0.915 3.562" Properties=species:S:1:pos:R:3 pbc="T T T"
Tb -5.063 -0.790 3.075
Tm -2.047 -0.320 1.243
Zn -4.229 -2.296 0.496
Pt -1.407 -1.855 -1.219
```

*ii*
VASP calculation (PBE) on a relaxed TbTmZnPt crystal.

As for the density of states at the Fermi level: 0.676 states/eV per atom. The size of the total moment comes out at 0.00 μB per formula unit. Its space group is F-43m.

The structure in extended XYZ format:
```
4
Lattice="-3.083 3.590 -1.488 -4.828 -0.257 1.113 -1.950 3.129 3.319" Properties=species:S:1:pos:R:3 pbc="T T T"
Zn -2.465 1.616 0.736
Tm -4.930 3.231 1.472
Tb 0.000 0.000 0.000
Pt -7.395 4.847 2.208
```

Order from most stable to least stable according to the calculation: *i*, *ii*

*i*
VASP calculation (PBE) on a relaxed TbVPt6 crystal.

As for the density of states at the Fermi level: 0.610 states/eV per atom. The size of the total moment comes out at 0.00 μB per formula unit. Its space group is P4/mmm.

The structure in extended XYZ format:
```
8
Lattice="-3.495 0.280 1.592 -1.566 -1.522 -3.172 1.026 -9.079 3.850" Properties=species:S:1:pos:R:3 pbc="T T T"
Tb 0.000 0.000 0.000
V 0.513 -4.540 1.925
Pt -1.062 -5.922 3.366
Pt -0.098 -6.823 0.984
Pt -2.398 -1.791 -0.294
Pt -1.637 -8.531 2.564
Pt -0.442 -3.779 -0.306
Pt -1.407 -2.878 2.075
```

*ii*
VASP calculation (PBE) on a relaxed TbVPt6 crystal.

As for the density of states at the Fermi level: 0.660 states/eV per atom. The size of the total moment comes out at 0.76 μB per formula unit. Its space group is P4/mmm.

The structure in extended XYZ format:
```
8
Lattice="4.021 0.000 0.000 0.000 4.021 0.000 0.000 0.000 8.081" Properties=species:S:1:pos:R:3 pbc="T T T"
Tb 0.000 0.000 0.000
V 0.000 0.000 4.040
Pt 2.010 2.010 0.000
Pt 2.010 2.010 4.040
Pt 2.010 0.000 2.168
Pt 2.010 0.000 5.913
Pt 0.000 2.010 2.168
Pt 0.000 2.010 5.913
```

Order from most stable to least stable according to the calculation: *ii*, *i*

*i*
VASP calculation (PBE) on a relaxed TbY2Pt9 crystal.

As for the density of states at the Fermi level: 0.994 states/eV per atom. The size of the total moment comes out at 0.00 μB per formula unit. Its space group is P4/mmm.

The structure in extended XYZ format:
```
12
Lattice="-3.247 -2.443 0.726 1.216 -0.453 3.918 -6.717 9.889 3.230" Properties=species:S:1:pos:R:3 pbc="T T T"
Tb 0.000 0.000 0.000
Y -2.239 3.296 1.077
Y -4.478 6.592 2.153
Pt -1.015 -1.448 2.322
Pt -3.255 1.849 3.399
Pt -5.493 5.143 4.475
Pt -2.744 0.428 0.901
Pt -4.982 3.723 1.978
Pt -7.220 7.018 3.054
Pt -0.512 1.422 2.498
Pt -2.750 4.718 3.574
Pt -4.988 8.013 4.650
```

*ii*
VASP calculation (PBE) on a relaxed TbY2Pt9 crystal.

As for the density of states at the Fermi level: 0.814 states/eV per atom. The size of the total moment comes out at 0.00 μB per formula unit. Its space group is R-3m.

The structure in extended XYZ format:
```
12
Lattice="-5.224 -0.709 -1.232 -1.387 -3.028 -4.268 -2.450 -8.426 3.341" Properties=species:S:1:pos:R:3 pbc="T T T"
Tb 0.000 0.000 0.000
Y -6.714 -6.735 -3.341
Y -2.347 -5.429 1.181
Pt -6.857 -10.916 -0.328
Pt -2.204 -1.248 -1.832
Pt -4.531 -6.082 -1.080
Pt -3.354 -3.695 -1.416
Pt -6.001 -4.055 -2.040
Pt -4.057 -5.230 -3.579
Pt -5.708 -8.469 -0.744
Pt -5.004 -6.934 1.419
Pt -3.060 -8.109 -0.120
```

Order from most stable to least stable according to the calculation: *i*, *ii*